(1)
A plane-wave DFT calculation with PBE-GGA was carried out for a geometry-optimized PaSnAu2 structure.

The formation enthalpy at 0 K is -0.4064 eV/atom. As for the energy relative to the lowest polymorph listed for this composition: 0.000 eV/atom.

The structure belongs to space group Fm-3m (No. 225); the cell edges are 7.0716, 7.0716 and 7.0716 Å and the angles 90.00°, 90.00° and 90.00°. The inequivalent atoms are Pa at (0.0000, 0.0000, 0.0000), Sn at (0.0000, 0.0000, 0.5000) and Au at (0.2500, 0.2500, 0.2500).

***

(2)
A plane-wave DFT calculation with PBE-GGA was carried out for a geometry-optimized Cd6Hg5Au structure.

The formation enthalpy at 0 K is -0.0072 eV/atom.

The structure belongs to space group P-1 (No. 2); the cell edges are 4.7212, 8.0486 and 8.6778 Å and the angles 113.63°, 97.83° and 103.78°. The inequivalent atoms are Cd at (0.0343, 0.4851, 0.1934), Cd at (0.3118, 0.1950, 0.6258), Cd at (0.3643, 0.1690, 0.0572), Hg at (0.1522, 0.7920, 0.6427), Hg at (0.1947, 0.8952, 0.2072), Hg at (0.5000, 0.5000, 0.5000) and Au at (0.5000, 0.5000, 0.0000).